Entry a
Compound: CdPPdO
Source: OQMD
Functional: PBE-GGA
Structure: relaxed

Structure (CIF):
```
data_CdPPdO
_symmetry_space_group_name_H-M 'P 4/n m m'
_symmetry_Int_Tables_number 129
_cell_length_a 4.171
_cell_length_b 4.171
_cell_length_c 7.808
_cell_angle_alpha 90.00
_cell_angle_beta 90.00
_cell_angle_gamma 90.00
loop_
_symmetry_equiv_pos_as_xyz
'x,y,z'
'-x,-y,-z'
'-y+1/2,x,z'
'y+1/2,-x,-z'
'-x+1/2,-y+1/2,z'
'x+1/2,y+1/2,-z'
'y,-x+1/2,z'
'-y,x+1/2,-z'
'x+1/2,-y,-z'
'-x+1/2,y,z'
'-y,-x,-z'
'y,x,z'
'-x,y+1/2,-z'
'x,-y+1/2,z'
'y+1/2,x+1/2,-z'
'-y+1/2,-x+1/2,z'
loop_
_atom_site_label
_atom_site_type_symbol
_atom_site_fract_x
_atom_site_fract_y
_atom_site_fract_z
Cd1 Cd 0.250 0.250 0.094
P1 P 0.250 0.250 0.651
Pd1 Pd 0.250 0.750 0.500
O1 O 0.250 0.750 0.000
```

Entry b
Compound: CdPPdO
Source: OQMD
Functional: PBE-GGA
Structure: relaxed

Structure (CIF):
```
data_CdPPdO
_symmetry_space_group_name_H-M 'P m c 21'
_symmetry_Int_Tables_number 26
_cell_length_a 4.168
_cell_length_b 5.821
_cell_length_c 5.664
_cell_angle_alpha 90.00
_cell_angle_beta 90.00
_cell_angle_gamma 90.00
loop_
_symmetry_equiv_pos_as_xyz
'x,y,z'
'-x,-y,z+1/2'
'-x,y,z'
'x,-y,z+1/2'
loop_
_atom_site_label
_atom_site_type_symbol
_atom_site_fract_x
_atom_site_fract_y
_atom_site_fract_z
Cd1 Cd 0.000 0.203 0.000
P1 P 0.500 0.379 0.817
Pd1 Pd 0.500 0.234 0.431
O1 O 0.000 0.171 0.396
```

Entry c
Compound: CdPPdO
Source: OQMD
Functional: PBE-GGA
Structure: relaxed

Structure (CIF):
```
data_CdPPdO
_symmetry_space_group_name_H-M 'P 4/n m m'
_symmetry_Int_Tables_number 129
_cell_length_a 4.293
_cell_length_b 4.293
_cell_length_c 8.314
_cell_angle_alpha 90.00
_cell_angle_beta 90.00
_cell_angle_gamma 90.00
loop_
_symmetry_equiv_pos_as_xyz
'x,y,z'
'-x,-y,-z'
'-y+1/2,x,z'
'y+1/2,-x,-z'
'-x+1/2,-y+1/2,z'
'x+1/2,y+1/2,-z'
'y,-x+1/2,z'
'-y,x+1/2,-z'
'x+1/2,-y,-z'
'-x+1/2,y,z'
'-y,-x,-z'
'y,x,z'
'-x,y+1/2,-z'
'x,-y+1/2,z'
'y+1/2,x+1/2,-z'
'-y+1/2,-x+1/2,z'
loop_
_atom_site_label
_atom_site_type_symbol
_atom_site_fract_x
_atom_site_fract_y
_atom_site_fract_z
Cd1 Cd 0.250 0.750 0.000
P1 P 0.250 0.250 0.180
Pd1 Pd 0.250 0.250 0.453
O1 O 0.250 0.750 0.500
```

Entry d
Compound: CdPPdO
Source: OQMD
Functional: PBE-GGA
Structure: relaxed

Structure (CIF):
```
data_CdPPdO
_symmetry_space_group_name_H-M 'P m c 21'
_symmetry_Int_Tables_number 26
_cell_length_a 3.189
_cell_length_b 7.209
_cell_length_c 5.473
_cell_angle_alpha 90.00
_cell_angle_beta 90.00
_cell_angle_gamma 90.00
loop_
_symmetry_equiv_pos_as_xyz
'x,y,z'
'-x,-y,z+1/2'
'-x,y,z'
'x,-y,z+1/2'
loop_
_atom_site_label
_atom_site_type_symbol
_atom_site_fract_x
_atom_site_fract_y
_atom_site_fract_z
Cd1 Cd 0.000 0.146 0.000
P1 P 0.000 0.482 0.467
Pd1 Pd 0.500 0.259 0.423
O1 O 0.500 0.030 0.747
```

Energies relative to the most stable structure, in meV/atom: entry a 0; entry b 205; entry c 434; entry d 76.